BaTbO3 GGA-PBE relaxed; electronic total energy = -139.75 eV/cell; total moment = 3.99 μB per cell; density = 6.7 Mg/m³; space group = Pnma, No. 62
1.0
6.189 0.000 0.000
0.000 6.243 0.000
0.000 0.000 8.773
O Ba Tb
12 4 4
direct
0.925 0.524 0.750
0.215 0.216 0.539
0.285 0.716 0.539
0.285 0.716 0.961
0.785 0.784 0.461
0.785 0.784 0.039
0.215 0.216 0.961
0.425 0.976 0.250
0.715 0.284 0.039
0.575 0.024 0.750
0.075 0.476 0.250
0.715 0.284 0.461
0.507 0.530 0.250
0.493 0.470 0.750
0.007 0.970 0.750
0.993 0.030 0.250
0.500 0.000 0.500
0.000 0.500 0.000
0.000 0.500 0.500
0.500 0.000 0.000